1.
Computed, not measured: Be2WCl after structural relaxation at the PBE-GGA level of DFT.

POSCAR file:
```
Be2WCl
1.0
2.740 0.000 0.000
0.000 2.802 0.000
0.000 0.000 7.103
Be W Cl
2 1 1
direct
0.000 0.000 0.244
0.000 0.000 0.756
0.500 0.500 0.000
0.500 0.000 0.500
```

Calculated values
**Distance to the lowest polymorph of the same formula**: 0.0000 eV per atom
**Fermi-level density of states**: 0.266 states/eV/atom
**Energy relative to the elements, uncorrected**: 0.81 eV per formula unit

2.
Computed, not measured: AcCd7Hg12 after structural relaxation at the PBE-GGA level of DFT.

POSCAR file:
```
AcCd7Hg12
1.0
7.608 4.393 2.607
-7.608 4.393 2.607
0.000 -8.785 2.607
Ac Cd Hg
1 7 12
direct
0.000 0.000 0.000
0.163 0.504 0.309
0.309 0.163 0.504
0.496 0.691 0.837
0.500 0.500 0.500
0.504 0.309 0.163
0.691 0.837 0.496
0.837 0.496 0.691
0.059 0.357 0.567
0.105 0.739 0.155
0.155 0.105 0.739
0.261 0.845 0.895
0.357 0.567 0.059
0.433 0.941 0.643
0.567 0.059 0.357
0.643 0.433 0.941
0.739 0.155 0.105
0.845 0.895 0.261
0.895 0.261 0.845
0.941 0.643 0.433
```

Calculated values
**Distance to the lowest polymorph of the same formula**: 0.0000 eV per atom
**Energy of formation**: -1.1 eV per formula unit
**Fermi-level density of states**: 0.301 states/eV/atom

3.
Computed, not measured: Na4PmF7 after structural relaxation at the PBE-GGA level of DFT.

POSCAR file:
```
Na4PmF7
1.0
9.530 -2.193 0.000
9.530 2.193 0.000
-1.115 0.000 5.451
Na Pm F
4 1 7
direct
0.114 0.114 0.030
0.314 0.314 0.518
0.686 0.686 0.482
0.886 0.886 0.970
0.500 0.500 0.500
0.000 0.000 0.500
0.196 0.196 0.360
0.391 0.391 0.239
0.430 0.430 0.783
0.570 0.570 0.217
0.609 0.609 0.761
0.804 0.804 0.640
```

Calculated values
**Fermi-level density of states**: 0.000 states/eV/atom
**Energy relative to the elements, uncorrected**: -36.70 eV per formula unit

4.
Computed, not measured: NaCaI2O after structural relaxation at the PBE-GGA level of DFT.

POSCAR file:
```
NaCaI2O
1.0
5.793 0.000 0.000
0.000 5.793 0.000
0.000 0.000 4.354
Na Ca I O
1 1 2 1
direct
0.000 0.000 0.000
0.500 0.500 0.500
0.000 0.500 0.000
0.500 0.000 0.000
0.000 0.000 0.500
```

Calculated values
**Distance to the lowest polymorph of the same formula**: 0.4457 eV per atom
**Fermi-level density of states**: 0.779 states/eV/atom
**Energy relative to the elements, uncorrected**: -3.74 eV per formula unit

5.
Computed, not measured: CsZn3P after structural relaxation at the PBE-GGA level of DFT.

POSCAR file:
```
CsZn3P
1.0
5.156 0.000 0.000
0.000 5.156 0.000
0.000 0.000 5.156
Cs Zn P
1 3 1
direct
0.000 0.000 0.000
0.000 0.500 0.500
0.500 0.000 0.500
0.500 0.500 0.000
0.500 0.500 0.500
```

Calculated values
**Distance to the lowest polymorph of the same formula**: 0.0000 eV per atom
**Energy of formation**: 1.4 eV per formula unit
**Fermi-level density of states**: 0.209 states/eV/atom

6.
Computed, not measured: LiHgSb2 after structural relaxation at the PBE-GGA level of DFT.

POSCAR file:
```
LiHgSb2
1.0
3.356 0.000 0.000
0.000 5.901 0.000
-0.007 0.000 5.183
Li Hg Sb
1 1 2
direct
0.000 0.000 0.000
0.995 0.500 0.205
0.497 0.500 0.701
0.498 0.000 0.501
```

Calculated values
**Fermi-level density of states**: 0.257 states/eV/atom
**Energy relative to the elements, uncorrected**: -0.36 eV per formula unit

7.
Computed, not measured: TcAsPt2 after structural relaxation at the PBE-GGA level of DFT.

POSCAR file:
```
TcAsPt2
1.0
-1.524 2.195 4.624
1.524 -2.195 4.624
1.524 2.195 -4.624
Tc As Pt
1 1 2
direct
0.000 0.000 0.000
0.500 0.500 0.000
0.274 0.774 0.500
0.726 0.226 0.500
```

Calculated values
**Energy of formation**: 0.2 eV per formula unit
**Fermi-level density of states**: 1.225 states/eV/atom

8.
Computed, not measured: Ba2HoAg2O6 after structural relaxation at the PBE-GGA level of DFT.

POSCAR file:
```
Ba2HoAg2O6
1.0
3.174 1.832 5.907
-3.174 1.832 5.907
0.000 -3.665 5.907
Ba Ho Ag O
2 1 2 6
direct
0.210 0.210 0.210
0.790 0.790 0.790
0.000 0.000 0.000
0.417 0.417 0.417
0.583 0.583 0.583
0.206 0.765 0.765
0.235 0.235 0.794
0.235 0.794 0.235
0.765 0.206 0.765
0.765 0.765 0.206
0.794 0.235 0.235
```

Calculated values
**Fermi-level density of states**: 0.752 states/eV/atom
**Energy relative to the elements, uncorrected**: -17.61 eV per formula unit

9.
Computed, not measured: InMo2Ru after structural relaxation at the PBE-GGA level of DFT.

POSCAR file:
```
InMo2Ru
1.0
3.183 0.000 0.000
0.000 3.183 0.000
0.000 0.000 6.550
In Mo Ru
1 2 1
direct
0.000 0.000 0.000
0.000 0.000 0.504
0.500 0.500 0.282
0.500 0.500 0.739
```

Calculated values
**Energy of formation**: 0.7 eV per formula unit
**Fermi-level density of states**: 1.249 states/eV/atom

10.
Computed, not measured: Mg2TlCr after structural relaxation at the PBE-GGA level of DFT.

POSCAR file:
```
Mg2TlCr
1.0
3.628 0.000 0.000
0.000 3.628 0.000
0.000 0.000 6.454
Mg Tl Cr
2 1 1
direct
0.000 0.000 0.000
0.500 0.500 0.262
0.000 0.000 0.526
0.500 0.500 0.772
```

Calculated values
**Distance to the lowest polymorph of the same formula**: 0.0350 eV per atom
**Energy of formation**: 1.1 eV per formula unit
**Fermi-level density of states**: 0.446 states/eV/atom

11.
Computed, not measured: La2GeS5 after structural relaxation at the PBE-GGA level of DFT.

POSCAR file:
```
La2GeS5
1.0
0.000 5.119 4.402
4.461 0.000 4.402
4.461 5.119 0.000
La Ge S
2 1 5
direct
0.000 0.000 0.500
0.500 0.500 0.000
0.262 0.262 0.738
0.016 0.521 0.479
0.357 0.926 0.643
0.509 0.509 0.491
0.521 0.016 0.984
0.926 0.357 0.074
```

Calculated values
**Distance to the lowest polymorph of the same formula**: 0.2087 eV per atom
**Energy relative to the elements, uncorrected**: -10.55 eV per formula unit

12.
Computed, not measured: Li2SnC after structural relaxation at the PBE-GGA level of DFT.

POSCAR file:
```
Li2SnC
1.0
-1.788 1.788 8.810
1.788 -1.788 8.810
1.788 1.788 -8.810
Li Sn C
4 2 2
direct
0.072 0.125 0.447
0.375 0.928 0.053
0.678 0.625 0.553
0.875 0.322 0.947
0.250 0.750 0.500
0.500 0.500 0.000
0.000 0.000 0.000
0.750 0.250 0.500
```

Calculated values
**Distance to the lowest polymorph of the same formula**: 0.0000 eV per atom
**Energy of formation**: 2.9 eV per formula unit
**Fermi-level density of states**: 0.378 states/eV/atom

13.
Computed, not measured: Hf2Mg2Sc after structural relaxation at the PBE-GGA level of DFT.

POSCAR file:
```
Hf2Mg2Sc
1.0
8.285 0.000 0.000
0.000 8.285 0.000
0.000 0.000 3.309
Hf Mg Sc
4 4 2
direct
0.157 0.343 0.000
0.343 0.843 0.000
0.657 0.157 0.000
0.843 0.657 0.000
0.142 0.642 0.500
0.358 0.142 0.500
0.642 0.858 0.500
0.858 0.358 0.500
0.000 0.000 0.500
0.500 0.500 0.500
```

Calculated values
**Distance to the lowest polymorph of the same formula**: 0.2309 eV per atom
**Energy of formation**: 1.5 eV per formula unit
**Fermi-level density of states**: 0.978 states/eV/atom

14.
Computed, not measured: CeErZn3 after structural relaxation at the PBE-GGA level of DFT.

POSCAR file:
```
CeErZn3
1.0
1.729 -13.637 0.000
1.729 13.637 0.000
0.000 0.000 4.563
Ce Er Zn
2 2 6
direct
0.074 0.926 0.750
0.926 0.074 0.250
0.211 0.789 0.250
0.789 0.211 0.750
0.325 0.675 0.250
0.379 0.621 0.750
0.476 0.524 0.750
0.524 0.476 0.250
0.621 0.379 0.250
0.675 0.325 0.750
```

Calculated values
**Energy of formation**: -1.4 eV per formula unit
**Fermi-level density of states**: 1.432 states/eV/atom

15.
Computed, not measured: Rb4IO5 after structural relaxation at the PBE-GGA level of DFT.

POSCAR file:
```
Rb4IO5
1.0
-4.321 4.321 2.931
4.321 -4.321 2.931
4.321 4.321 -2.931
Rb I O
4 1 5
direct
0.103 0.706 0.809
0.294 0.103 0.396
0.706 0.897 0.604
0.897 0.294 0.191
0.480 0.480 0.000
0.162 0.162 0.000
0.287 0.436 0.712
0.436 0.724 0.150
0.575 0.287 0.850
0.724 0.575 0.288
```

Calculated values
**Fermi-level density of states**: 0.239 states/eV/atom
**Energy relative to the elements, uncorrected**: -11.13 eV per formula unit

16.
Computed, not measured: CeNd2Hg after structural relaxation at the PBE-GGA level of DFT.

POSCAR file:
```
CeNd2Hg
1.0
0.000 3.861 3.861
3.861 0.000 3.861
3.861 3.861 0.000
Ce Nd Hg
1 2 1
direct
0.000 0.000 0.000
0.250 0.250 0.250
0.750 0.750 0.750
0.500 0.500 0.500
```

Calculated values
**Distance to the lowest polymorph of the same formula**: 0.1788 eV per atom
**Energy of formation**: -0.1 eV per formula unit
**Fermi-level density of states**: 2.087 states/eV/atom

17.
Computed, not measured: NdPaNi after structural relaxation at the PBE-GGA level of DFT.

POSCAR file:
```
NdPaNi
1.0
-1.763 1.763 5.744
1.763 -1.763 5.744
1.763 1.763 -5.744
Nd Pa Ni
1 1 1
direct
0.000 0.000 0.000
0.288 0.288 0.000
0.698 0.698 0.000
```

Calculated values
**Distance to the lowest polymorph of the same formula**: 0.0000 eV per atom
**Energy of formation**: -0.3 eV per formula unit
**Fermi-level density of states**: 1.156 states/eV/atom

18.
Computed, not measured: Hf2TlF after structural relaxation at the PBE-GGA level of DFT.

POSCAR file:
```
Hf2TlF
1.0
-2.582 2.582 6.957
2.582 -2.582 6.957
2.582 2.582 -6.957
Hf Tl F
4 2 2
direct
0.375 0.227 0.352
0.773 0.125 0.148
0.875 0.023 0.648
0.977 0.625 0.852
0.250 0.750 0.500
0.500 0.500 0.000
0.000 0.000 0.000
0.750 0.250 0.500
```

Calculated values
**Distance to the lowest polymorph of the same formula**: 0.1557 eV per atom
**Fermi-level density of states**: 0.618 states/eV/atom
**Energy relative to the elements, uncorrected**: -0.72 eV per formula unit

19.
Computed, not measured: LaCd6Ag4 after structural relaxation at the PBE-GGA level of DFT.

POSCAR file:
```
LaCd6Ag4
1.0
-3.593 3.593 5.217
3.593 -3.593 5.217
3.593 3.593 -5.217
La Cd Ag
1 6 4
direct
0.000 0.000 0.000
0.000 0.500 0.500
0.107 0.107 0.623
0.484 0.484 0.377
0.500 0.000 0.500
0.516 0.893 0.000
0.893 0.516 0.000
0.256 0.592 0.000
0.408 0.408 0.665
0.592 0.256 0.000
0.744 0.744 0.335
```

Calculated values
**Distance to the lowest polymorph of the same formula**: 0.0700 eV per atom
**Energy of formation**: -0.7 eV per formula unit
**Fermi-level density of states**: 0.562 states/eV/atom

20.
Computed, not measured: HfFe2BIr after structural relaxation at the PBE-GGA level of DFT.

POSCAR file:
```
HfFe2BIr
1.0
3.935 0.000 0.000
0.000 3.935 0.000
0.000 0.000 4.053
Hf Fe B Ir
1 2 1 1
direct
0.000 0.000 0.000
0.000 0.500 0.500
0.500 0.000 0.500
0.500 0.500 0.500
0.500 0.500 0.000
```

Calculated values
**Energy of formation**: -2.2 eV per formula unit
**Fermi-level density of states**: 0.522 states/eV/atom

21.
Computed, not measured: SrAg2Pb after structural relaxation at the PBE-GGA level of DFT.

POSCAR file:
```
SrAg2Pb
1.0
4.974 0.000 0.000
0.000 4.974 0.000
0.000 0.000 4.277
Sr Ag Pb
1 2 1
direct
0.000 0.000 0.000
0.000 0.500 0.500
0.500 0.000 0.500
0.500 0.500 0.000
```

Calculated values
**Energy of formation**: -0.6 eV per formula unit
**Fermi-level density of states**: 0.473 states/eV/atom

22.
Computed, not measured: CaDyTe2O8 after structural relaxation at the PBE-GGA level of DFT.

POSCAR file:
```
CaDyTe2O8
1.0
-2.657 2.657 5.718
2.657 -2.657 5.718
2.657 2.657 -5.718
Ca Dy Te O
1 1 2 8
direct
0.000 0.000 0.000
0.250 0.750 0.500
0.500 0.500 0.000
0.750 0.250 0.500
0.010 0.089 0.431
0.237 0.667 0.088
0.333 0.421 0.570
0.420 0.990 0.078
0.579 0.149 0.912
0.658 0.580 0.569
0.851 0.763 0.430
0.911 0.342 0.922
```

Calculated values
**Fermi-level density of states**: 0.244 states/eV/atom
**Energy relative to the elements, uncorrected**: -22.18 eV per formula unit

23.
Computed, not measured: Ti2Be16Co after structural relaxation at the PBE-GGA level of DFT.

POSCAR file:
```
Ti2Be16Co
1.0
3.698 2.135 3.575
-3.698 2.135 3.575
0.000 -4.270 3.575
Ti Be Co
2 16 1
direct
0.000 0.000 0.000
0.326 0.326 0.326
0.008 0.008 0.501
0.008 0.501 0.008
0.163 0.659 0.659
0.315 0.315 0.815
0.315 0.815 0.315
0.369 0.658 0.948
0.369 0.948 0.658
0.501 0.008 0.008
0.658 0.369 0.948
0.658 0.948 0.369
0.659 0.163 0.659
0.659 0.659 0.163
0.763 0.763 0.763
0.815 0.315 0.315
0.948 0.369 0.658
0.948 0.658 0.369
0.563 0.563 0.563
```

Calculated values
**Energy of formation**: -4.5 eV per formula unit
**Fermi-level density of states**: 0.326 states/eV/atom

24.
Computed, not measured: CdHPtRh2 after structural relaxation at the PBE-GGA level of DFT.

POSCAR file:
```
CdHPtRh2
1.0
3.945 0.000 0.000
0.000 3.945 0.000
0.000 0.000 4.228
Cd H Pt Rh
1 1 1 2
direct
0.000 0.000 0.000
0.000 0.000 0.500
0.500 0.500 0.000
0.000 0.500 0.500
0.500 0.000 0.500
```

Calculated values
**Distance to the lowest polymorph of the same formula**: 0.0830 eV per atom
**Fermi-level density of states**: 0.841 states/eV/atom

Number 1: density 7.23 g/cm3. Number 2: density 10.87 g/cm3. Number 3: density 2.70 g/cm3. Number 4: density 3.78 g/cm3. Number 5: density 4.36 g/cm3. Number 6: density 7.30 g/cm3. Number 7: density 15.11 g/cm3. Number 8: density 6.05 g/cm3. Number 9: density 10.20 g/cm3. Number 10: density 5.96 g/cm3. Number 11: density 4.22 g/cm3. Number 12: density 4.26 g/cm3. Number 13: density 6.59 g/cm3. Number 14: density 7.77 g/cm3. Number 15: density 4.16 g/cm3. Number 16: density 9.08 g/cm3. Number 17: density 10.10 g/cm3. Number 18: density 10.39 g/cm3. Number 19: density 7.67 g/cm3. Number 20: density 13.05 g/cm3. Number 21: density 8.01 g/cm3. Number 22: density 6.02 g/cm3. Number 23: density 2.93 g/cm3. Number 24: density 12.98 g/cm3.